Below is a geometry-optimized Zr2Ti2Cu structure, with properties calculated at the GGA-PBE level.

a = 7.0673 Å, b = 7.0673 Å, c = 3.9773 Å
α = 90.00°, β = 90.00°, γ = 90.00°
Space group P4/mbm (No. 127)
One atom of each set of equivalent atoms:
Zr1 0.1503 0.3497 0.0000 [4 per cell]
Ti1 0.1459 0.6459 0.5000 [4 per cell]
Cu1 0.0000 0.0000 0.0000 [2 per cell]

Computed properties:
DOS at the Fermi energy   10.54 states/eV/cell
E_form   1.62 eV/f.u.
Excess energy over the best structure of this formula in the dataset   204 meV/atom
Volume   19.9 A^3/atom
Total moment   0.0 μB/cell

Below is a geometry-optimized TlCu4 structure, with properties calculated at the GGA-PBE level.

a = 5.8462 Å, b = 5.8462 Å, c = 5.8462 Å
α = 90.00°, β = 90.00°, γ = 90.00°
Space group Im-3m (No. 229)
One atom of each set of equivalent atoms:
Tl1 0.0000 0.0000 0.0000 [2 per cell]
Cu1 0.2500 0.2500 0.2500 [8 per cell]

Computed properties:
DOS at the Fermi energy   7.61 states/eV/cell
E_form   4.04 eV/f.u.
Excess energy over the best structure of this formula in the dataset   549 meV/atom
Volume   20.0 A^3/atom
Total moment   0.0 μB/cell

- Which value of volume does entry 2 give?
  20.0 A^3/atom

- Among the records above, which one has the highest volume?
  TlCu4

- What is the formula in the first record?
  Zr2Ti2Cu